Entry 1:
Here is a relaxed ErSc4Se5 crystal from the Alexandria database. Energies are from PBE.

a = 3.9125 Å, b = 3.9125 Å, c = 47.7339 Å
α = 90.00°, β = 90.00°, γ = 120.00°
Space group R-3m (No. 166, hexagonal axes)
Asymmetric unit:
Er 0.0000 0.0000 0.0000 x3
Sc 0.0000 0.0000 0.1995 x6
Sc 0.0000 0.0000 0.4019 x6
Se 0.0000 0.0000 0.1013 x6
Se 0.0000 0.0000 0.2974 x6
Se 0.0000 0.0000 0.5000 x3

Calculated values
**Energy above the most stable polymorph in this dataset**: 0.000 eV/atom
**Energy**: -190.24 eV/cell

=====

Entry 2:
Here is a relaxed GdBO3 crystal from the Alexandria database. Energies are from PBE.

a = 6.4002 Å, b = 6.4002 Å, c = 14.6723 Å
α = 90.00°, β = 90.00°, γ = 120.00°
Space group R32 (No. 155, hexagonal axes)
Asymmetric unit:
Gd 0.0000 0.6680 0.0000 x9
B 0.0000 0.2427 0.5000 x9
O 0.9997 0.3550 0.4137 x18
O 0.0000 0.7763 0.5000 x9

Calculated values
**Energy**: -449.38 eV/cell

=====

Entry 3:
Here is a relaxed SrAs2P crystal from the Alexandria database. Energies are from PBE.

a = 7.136 Å, b = 7.136 Å, c = 7.136 Å
α = 90.00°, β = 90.00°, γ = 90.00°
Space group F-43m (No. 216)
Asymmetric unit:
Sr 0.000 0.000 0.000 x4
As 0.000 0.000 0.500 x4
As 0.250 0.250 0.250 x4
P 0.250 0.250 0.750 x4

Calculated values
**Energy of formation from the pure elements**: -0.01 eV/atom
**Energy**: -65.66 eV/cell

=====

| no. | calculated volume (Å³/atom) |
| --- | --- |
| 1 | 21.09 |
| 2 | 11.57 |
| 3 | 22.72 |